Below is a relaxed structure of Pa2Al3Ag, with properties calculated at the GGA-PBE level.

Values from the calculation:
The calculation puts the relative energy among the computed polymorphs at 0 meV per atom. Its density is 9.0 Mg/m³. Its total magnetization is 0.0 Bohr magnetons per cell. As for the energy of formation from the pure elements: -244 meV per atom. The space group is P6_3/mmc. The calculation puts the total energy at -5.76 eV/atom.

Unit cell a=5.692 b=5.692 c=8.567 alpha=90.00 beta=90.00 gamma=120.00
Positions (direct):
Pa: 0.333 0.667 0.091
Pa: 0.333 0.667 0.409
Pa: 0.667 0.333 0.591
Pa: 0.667 0.333 0.909
Al: 0.173 0.347 0.750
Al: 0.173 0.827 0.750
Al: 0.347 0.173 0.250
Al: 0.653 0.827 0.750
Al: 0.827 0.173 0.250
Al: 0.827 0.653 0.250
Ag: 0.000 0.000 0.000
Ag: 0.000 0.000 0.500